# 1
# YBe2GeF, optimized geometry, DFT PBE-GGA
# Symmetry: P4/mmm
# DOS at the Fermi energy: 6.19 states/eV per cell
# Raw total energy: -13.82 eV for the cell shown
data_YBe2GeF
_symmetry_space_group_name_H-M 'P 1'
_symmetry_Int_Tables_number 1
_symmetry_space_group_name_Hall 'P 1'
_cell_length_a 5.450
_cell_length_b 5.583
_cell_length_c 5.450
_cell_angle_alpha 90.00
_cell_angle_beta 90.00
_cell_angle_gamma 90.00
loop_
_atom_site_label
_atom_site_fract_x
_atom_site_fract_y
_atom_site_fract_z
_atom_site_occupancy
Be1 0.500 0.000 0.000 1
Be2 0.000 0.000 0.500 1
Ge1 0.000 0.500 0.000 1
Y1 0.000 0.000 0.000 1
F1 0.500 0.500 0.500 1



# 2
# AcPr2Ir, optimized geometry, DFT PBE-GGA
# ΔE_f: -0.3973 eV per atom
# Symmetry: P2_1/m
# DOS at the Fermi energy: 10.50 states/eV per cell
# Raw total energy: -48.24 eV for the cell shown
# Energy above the most stable polymorph in this dataset: 2.5 kJ/mol of atoms
data_AcPr2Ir
_symmetry_space_group_name_H-M 'P 1'
_symmetry_Int_Tables_number 1
_symmetry_space_group_name_Hall 'P 1'
_cell_length_a 4.051
_cell_length_b 6.607
_cell_length_c 10.119
_cell_angle_alpha 90.00
_cell_angle_beta 90.00
_cell_angle_gamma 107.88
loop_
_atom_site_label
_atom_site_fract_x
_atom_site_fract_y
_atom_site_fract_z
_atom_site_occupancy
Ac1 0.582 0.163 0.750 1
Ac2 0.418 0.837 0.250 1
Pr1 0.855 0.710 0.569 1
Pr2 0.145 0.290 0.431 1
Pr3 0.145 0.290 0.069 1
Pr4 0.855 0.710 0.931 1
Ir1 0.737 0.473 0.250 1
Ir2 0.263 0.527 0.750 1